Crystalline ZnPb2 at its relaxed geometry. Source: Alexandria via LeMat-Bulk, functional GGA-PBE.

Computed properties:
- energy above the most stable polymorph in this dataset (kJ per mole of atoms) = 0.0
- formation enthalpy at 0 K (eV/atom) = 0.086
- mass density (g/cm3) = 9.98

Geometry as CIF:
```
data_ZnPb2
_cell_length_a 11.657
_cell_length_b 3.439
_cell_length_c 8.560
_cell_angle_alpha 90.00
_cell_angle_beta 111.42
_cell_angle_gamma 90.00
_symmetry_space_group_name_H-M 'C 1 2/m 1'
_symmetry_Int_Tables_number 12
loop_
_symmetry_equiv_pos_as_xyz
'x,y,z'
'-x,-y,-z'
'-x,y,-z'
'x,-y,z'
'x+1/2,y+1/2,z'
'-x+1/2,-y+1/2,-z'
'-x+1/2,y+1/2,-z'
'x+1/2,-y+1/2,z'
loop_
_atom_site_label
_atom_site_type_symbol
_atom_site_fract_x
_atom_site_fract_y
_atom_site_fract_z
_atom_site_occupancy
Zn1 Zn 0.198 0.000 0.070 1
Pb1 Pb 0.017 0.500 0.206 1
Pb2 Pb 0.163 0.000 0.603 1
```